# 1
The following is a DFT calculation (PBE) of a relaxed structure of LaSc2Cd.

a = 3.4313 Å, b = 3.4313 Å, c = 31.2424 Å
α = 90.00°, β = 90.00°, γ = 120.00°
Space group R-3m (No. 166, hexagonal axes)
One atom of each set of equivalent atoms:
La 0.0000 0.0000 0.0000
Sc 0.0000 0.0000 0.2425
Cd 0.0000 0.0000 0.5000

Output
The energy of formation is -0.02 eV per atom. Its crystal system is trigonal.


# 2
The following is a DFT calculation (PBE) of a relaxed structure of Na3AcEr2S6.

a = 7.0890 Å, b = 12.2882 Å, c = 7.1074 Å
α = 90.00°, β = 109.51°, γ = 90.00°
Space group C2/m (No. 12)
One atom of each set of equivalent atoms:
Na 0.0000 0.0000 0.0000
Na 0.0000 0.3328 0.0000
Ac 0.0000 0.5000 0.5000
Er 0.0000 0.1669 0.5000
S 0.2219 0.0000 0.7308
S 0.2462 0.1775 0.2722

Output
The value obtained for the uncorrected formation energy is -21.87 eV per formula unit. Its crystal system is monoclinic.


# 3
The following is a DFT calculation (PBE) of a relaxed structure of KCoN.

a = 2.7734 Å, b = 2.7734 Å, c = 10.7728 Å
α = 90.00°, β = 90.00°, γ = 90.00°
Space group I4mm (No. 107)
One atom of each set of equivalent atoms:
K 0.0000 0.0000 0.0000
Co 0.0000 0.0000 0.2586
N 0.0000 0.0000 0.7186

Output
The value obtained for the uncorrected formation energy is 1.62 eV per formula unit. The calculation puts the energy above the most stable polymorph in this dataset at 618 meV per atom. Its crystal system is tetragonal.


# 4
The following is a DFT calculation (PBE) of a relaxed structure of TmTh4Sc4.

a = 10.3490 Å, b = 10.3490 Å, c = 4.8122 Å
α = 90.00°, β = 90.00°, γ = 90.00°
Space group I4/mmm (No. 139)
One atom of each set of equivalent atoms:
Tm 0.0000 0.0000 0.0000
Th 0.1678 0.1678 0.5000
Sc 0.0000 0.3379 0.0000

Output
The energy of formation is 0.05 eV per atom. Its crystal system is tetragonal.


# 5
The following is a DFT calculation (PBE) of a relaxed structure of La5Nd2.

a = 10.0012 Å, b = 6.0297 Å, c = 9.2882 Å
α = 90.00°, β = 114.34°, γ = 90.00°
Space group C2/m (No. 12)
One atom of each set of equivalent atoms:
La 0.0000 0.0000 0.0000
La 0.0740 0.5000 0.7075
La 0.1626 0.0000 0.4734
Nd 0.1951 0.5000 0.1136

Output
The energy of formation is 0.09 eV per atom. The calculation puts the energy above the most stable polymorph in this dataset at 0 meV per atom. Its crystal system is monoclinic.


| no. | volume (Å³ per cell) | total energy (eV/atom) |
| --- | --- | --- |
| 1 | 318.6 | -4.644 |
| 2 | 583.6 | -5.319 |
| 3 | 82.9 | -4.969 |
| 4 | 515.4 | -6.563 |
| 5 | 510.3 | -4.793 |